# PmSmSnI

A geometry-optimized PmSmSnI structure (PBE-GGA, the Alexandria database).

## Properties
Formation energy from raw total energies: -0.7055 eV per atom

abc: 7.798 7.798 7.798
angles: 90.00 90.00 90.00
Element x y z (fractional)
Pm: 0.000 0.000 0.000
Pm: 0.000 0.500 0.500
Pm: 0.500 0.000 0.500
Pm: 0.500 0.500 0.000
Sm: 0.000 0.000 0.500
Sm: 0.000 0.500 0.000
Sm: 0.500 0.000 0.000
Sm: 0.500 0.500 0.500
Sn: 0.250 0.250 0.250
Sn: 0.250 0.750 0.750
Sn: 0.750 0.250 0.750
Sn: 0.750 0.750 0.250
I: 0.250 0.250 0.750
I: 0.250 0.750 0.250
I: 0.750 0.250 0.250
I: 0.750 0.750 0.750